Entry 1:
{
  "formula": "Na3TaTc",
  "functional": "PBE",
  "state": "optimized geometry",
  "lattice": [[5.1106, 0.0000, 0.0000], [0.0000, 5.1106, 0.0000], [0.0000, 0.0000, 5.1106]],
  "species": ["Na", "Na", "Na", "Ta", "Tc"],
  "frac_coords": [[0.0000, 0.0000, 0.5000], [0.0000, 0.5000, 0.0000], [0.5000, 0.0000, 0.0000], [0.5000, 0.5000, 0.5000], [0.0000, 0.0000, 0.0000]],
  "sg": "Pm-3m",
  "density_kg_m3": 4328,
  "delta_e_f_ev_per_atom": 2.463
}

=====

Entry 2:
{
  "formula": "Li2CuSi",
  "functional": "PBE",
  "state": "optimized geometry",
  "lattice": [[2.7191, 0.0000, 0.0000], [0.0000, 2.7191, 0.0000], [0.0000, 0.0000, 7.8885]],
  "species": ["Li", "Li", "Cu", "Si"],
  "frac_coords": [[0.0000, 0.0000, 0.0000], [0.5000, 0.5000, 0.3175], [0.5000, 0.5000, 0.7619], [0.0000, 0.0000, 0.5597]],
  "sg": "P4mm",
  "density_kg_m3": 3004,
  "formation_energy_uncorrected_ev_per_fu": -0.2
}

=====

Entry 3:
{
  "formula": "PmAlZn",
  "functional": "PBE",
  "state": "optimized geometry",
  "lattice": [[8.0236, 0.0000, 0.0000], [0.0000, 3.3856, 0.0000], [0.0000, 0.0000, 10.3206]],
  "species": ["Pm", "Pm", "Pm", "Pm", "Al", "Al", "Al", "Al", "Zn", "Zn", "Zn", "Zn"],
  "frac_coords": [[0.1792, 0.2500, 0.1155], [0.3208, 0.7500, 0.6155], [0.6792, 0.2500, 0.3845], [0.8208, 0.7500, 0.8845], [0.1427, 0.2500, 0.8225], [0.3573, 0.7500, 0.3225], [0.6427, 0.2500, 0.6775], [0.8573, 0.7500, 0.1775], [0.0369, 0.7500, 0.3908], [0.4631, 0.2500, 0.8908], [0.5369, 0.7500, 0.1092], [0.9631, 0.2500, 0.6092]],
  "polymorph_energy_mev_per_atom": 306,
  "sg": "Pnma",
  "density_kg_m3": 5624,
  "delta_e_f_ev_per_atom": -0.137
}

=====

Entry 4:
{
  "formula": "LuPuAlOs",
  "functional": "PBE",
  "state": "optimized geometry",
  "lattice": [[6.8834, 0.0000, 0.0000], [0.0000, 6.8834, 0.0000], [0.0000, 0.0000, 6.8834]],
  "species": ["Lu", "Lu", "Lu", "Lu", "Pu", "Pu", "Pu", "Pu", "Al", "Al", "Al", "Al", "Os", "Os", "Os", "Os"],
  "frac_coords": [[0.0000, 0.0000, 0.0000], [0.0000, 0.5000, 0.5000], [0.5000, 0.0000, 0.5000], [0.5000, 0.5000, 0.0000], [0.0000, 0.0000, 0.5000], [0.0000, 0.5000, 0.0000], [0.5000, 0.0000, 0.0000], [0.5000, 0.5000, 0.5000], [0.2500, 0.2500, 0.2500], [0.2500, 0.7500, 0.7500], [0.7500, 0.2500, 0.7500], [0.7500, 0.7500, 0.2500], [0.2500, 0.2500, 0.7500], [0.2500, 0.7500, 0.2500], [0.7500, 0.2500, 0.2500], [0.7500, 0.7500, 0.7500]],
  "sg": "F-43m",
  "density_kg_m3": 12956,
  "delta_e_f_ev_per_atom": -0.171
}

=====

Entry 5:
{
  "formula": "Sr3IN",
  "functional": "PBE",
  "state": "optimized geometry",
  "lattice": [[5.3814, 0.0000, 0.0000], [0.0000, 5.3814, 0.0000], [0.0000, 0.0000, 5.3814]],
  "species": ["Sr", "Sr", "Sr", "I", "N"],
  "frac_coords": [[0.0000, 0.0000, 0.5000], [0.0000, 0.5000, 0.0000], [0.5000, 0.0000, 0.0000], [0.5000, 0.5000, 0.5000], [0.0000, 0.0000, 0.0000]],
  "polymorph_energy_mev_per_atom": 42,
  "sg": "Pm-3m",
  "density_kg_m3": 4302,
  "formation_energy_uncorrected_ev_per_fu": -2.9
}

=====

Entry 6:
{
  "formula": "ZrPb2Au",
  "functional": "PBE",
  "state": "optimized geometry",
  "lattice": [[3.8829, 0.0000, 0.0000], [0.0000, 3.8829, 0.0000], [0.0000, 0.0000, 6.4370]],
  "species": ["Zr", "Pb", "Pb", "Au"],
  "frac_coords": [[0.0000, 0.0000, 0.0000], [0.5000, 0.5000, 0.2513], [0.5000, 0.5000, 0.7487], [0.0000, 0.0000, 0.5000]],
  "polymorph_energy_mev_per_atom": 233,
  "sg": "P4/mmm",
  "density_kg_m3": 12022,
  "delta_e_f_ev_per_atom": 0.057
}

=====

Entry 7:
{
  "formula": "La5CeSn5",
  "functional": "PBE",
  "state": "optimized geometry",
  "lattice": [[7.3933, -3.2460, 0.0000], [7.3933, 3.2460, 0.0000], [-2.7726, 0.0000, 8.5653]],
  "species": ["La", "La", "La", "La", "La", "Ce", "Sn", "Sn", "Sn", "Sn", "Sn"],
  "frac_coords": [[0.0000, 0.0000, 0.0000], [0.3272, 0.3272, 0.1692], [0.3307, 0.3307, 0.6629], [0.6693, 0.6693, 0.3371], [0.6728, 0.6728, 0.8308], [0.0000, 0.0000, 0.5000], [0.1590, 0.1590, 0.3333], [0.1616, 0.1616, 0.8292], [0.5000, 0.5000, 0.5000], [0.8384, 0.8384, 0.1708], [0.8410, 0.8410, 0.6667]],
  "sg": "C2/m",
  "density_kg_m3": 5769,
  "delta_e_f_ev_per_atom": -0.505
}

=====

Entry 8:
{
  "formula": "Na3Tl4Au4",
  "functional": "PBE",
  "state": "optimized geometry",
  "lattice": [[-2.0976, 4.2022, 8.1200], [2.0976, -4.2022, 8.1200], [2.0976, 4.2022, -8.1200]],
  "species": ["Na", "Na", "Na", "Tl", "Tl", "Tl", "Tl", "Au", "Au", "Au", "Au"],
  "frac_coords": [[0.0000, 0.0000, 0.0000], [0.3861, 0.8861, 0.5000], [0.6139, 0.1139, 0.5000], [0.0436, 0.3367, 0.7069], [0.3702, 0.6633, 0.7069], [0.6298, 0.3367, 0.2931], [0.9564, 0.6633, 0.2931], [0.2310, 0.2310, 0.0000], [0.3295, 0.5000, 0.8295], [0.6705, 0.5000, 0.1705], [0.7690, 0.7690, 0.0000]],
  "sg": "Immm",
  "density_kg_m3": 9712,
  "delta_e_f_ev_per_atom": -0.188
}

=====

Magnetization values, unit μB/cell, following the record order: 0.01 0.00 0.00 19.44 0.00 0.00 0.92 0.00.